{"formula": "LiPm2Ge", "functional": "PBE-GGA", "state": "optimized geometry", "lattice_angstrom": [[4.8940, 0.0000, 0.0000], [0.0000, 4.8940, 0.0000], [0.0000, 0.0000, 4.1046]], "species": ["Li", "Pm", "Pm", "Ge"], "frac_coords": [[0.0000, 0.0000, 0.0000], [0.0000, 0.5000, 0.5000], [0.5000, 0.0000, 0.5000], [0.5000, 0.5000, 0.0000]], "energy_ev_per_cell": -17.66, "delta_e_f_ev_per_atom": -0.408, "magmom_total_mub_per_atom": 0.000, "n_ef_per_ev_fu": 3.76, "crystal_system": "tetragonal", "mass_density_g_cm3": 6.24}

{"formula": "La2Nd2HoHg5", "functional": "PBE-GGA", "state": "optimized geometry", "lattice_angstrom": [[12.3033, 0.0000, 0.0000], [0.0000, 12.3033, 0.0000], [0.0000, 0.0000, 3.9620]], "species": ["La", "La", "La", "La", "Nd", "Nd", "Nd", "Nd", "Ho", "Ho", "Hg", "Hg", "Hg", "Hg", "Hg", "Hg", "Hg", "Hg", "Hg", "Hg"], "frac_coords": [[0.1614, 0.3386, 0.0000], [0.3386, 0.8386, 0.0000], [0.6614, 0.1614, 0.0000], [0.8386, 0.6614, 0.0000], [0.1429, 0.6429, 0.0000], [0.3571, 0.1429, 0.0000], [0.6429, 0.8571, 0.0000], [0.8571, 0.3571, 0.0000], [0.0000, 0.0000, 0.0000], [0.5000, 0.5000, 0.0000], [0.0000, 0.5000, 0.5000], [0.1165, 0.8476, 0.5000], [0.1524, 0.1165, 0.5000], [0.3476, 0.6165, 0.5000], [0.3835, 0.3476, 0.5000], [0.5000, 0.0000, 0.5000], [0.6165, 0.6524, 0.5000], [0.6524, 0.3835, 0.5000], [0.8476, 0.8835, 0.5000], [0.8835, 0.1524, 0.5000]], "energy_ev_per_cell": -57.65, "delta_e_f_ev_per_atom": -0.335, "magmom_total_mub_per_atom": 0.001, "n_ef_per_ev_fu": 9.42, "crystal_system": "tetragonal", "mass_density_g_cm3": 9.60}

{"formula": "U2SbC", "functional": "PBE-GGA", "state": "optimized geometry", "lattice_angstrom": [[1.8055, 1.0424, 7.4330], [-1.8055, 1.0424, 7.4330], [0.0000, -2.0848, 7.4330]], "species": ["U", "U", "Sb", "C"], "frac_coords": [[0.2264, 0.2264, 0.2264], [0.7736, 0.7736, 0.7736], [0.0000, 0.0000, 0.0000], [0.5000, 0.5000, 0.5000]], "energy_ev_per_cell": -36.20, "magmom_total_mub_per_atom": 0.969, "n_ef_per_ev_fu": 11.02, "crystal_system": "trigonal", "mass_density_g_cm3": 12.06, "e_form_raw_ev_per_atom": -0.070}